Model a:
Material: Sm5Ho12Th2
Method: DFT, PBE
State: relaxed

For the magnetization, the calculation gives 0.000 μB/atom.

Lattice parameters (Å, degrees): 15.5421 9.3709 8.6115 90.00 92.34 90.00
Space group C2/m (No. 12)
One atom of each set of equivalent atoms:
Sm (0.0000, 0.0000, 0.0000) (multiplicity 2)
Sm (0.2024, 0.5000, 0.5214) (multiplicity 4)
Sm (0.2312, 0.0000, 0.0704) (multiplicity 4)
Ho (0.0578, 0.5000, 0.8305) (multiplicity 4)
Ho (0.0757, 0.0000, 0.3773) (multiplicity 4)
Ho (0.1287, 0.3093, 0.1656) (multiplicity 8)
Ho (0.1487, 0.1780, 0.7414) (multiplicity 8)
Th (0.0000, 0.3267, 0.5000) (multiplicity 4)

Model b:
Material: Sm5Ho12Th2
Method: DFT, PBE
State: relaxed

For the magnetization, the calculation gives 0.000 μB/atom.

Lattice parameters (Å, degrees): 6.2642 8.9023 11.1477 87.27 81.66 87.12
Space group P-1 (No. 2)
One atom of each set of equivalent atoms:
Sm (0.0000, 0.0000, 0.0000) (multiplicity 1)
Sm (0.1257, 0.9849, 0.3491) (multiplicity 2)
Sm (0.2704, 0.5706, 0.9440) (multiplicity 2)
Ho (0.0232, 0.3409, 0.7686) (multiplicity 2)
Ho (0.0773, 0.6608, 0.5553) (multiplicity 2)
Ho (0.1969, 0.2936, 0.1576) (multiplicity 2)
Ho (0.3483, 0.8668, 0.7455) (multiplicity 2)
Ho (0.4031, 0.1777, 0.5470) (multiplicity 2)
Ho (0.4979, 0.8188, 0.1174) (multiplicity 2)
Th (0.4572, 0.4939, 0.3418) (multiplicity 2)

Most stable = model b